(1)
A crystal of Na5Hf2F13 relaxed with PBEsol, computed with meta-GGA SCAN.

Results
Energy   -13.196 eV per atom
V   13.14 Å³/atom
Space-group type   C2/m, No. 12
Formation energy without anion corrections   -3.57 eV/atom

Lattice parameters (Å, degrees): 5.4736 6.3873 8.3857 96.64 90.00 115.37
Atoms (fractional coordinates):
F  0.2982  0.1220  0.2507
F  0.0560  0.6389  0.3572
F  0.1762  0.8780  0.7493
F  0.4172  0.3611  0.6428
F  0.8238  0.1220  0.2507
F  0.9440  0.3611  0.6428
F  0.0000  0.0000  0.5000
F  0.3575  0.2669  0.9283
F  0.0906  0.7331  0.0717
F  0.5828  0.6389  0.3572
F  0.7018  0.8780  0.7493
F  0.9094  0.2669  0.9283
F  0.6425  0.7331  0.0717
Na  0.5000  0.0000  0.0000
Na  0.7780  0.5560  0.8455
Na  0.6636  0.3271  0.4282
Na  0.2220  0.4440  0.1545
Na  0.3364  0.6729  0.5718
Hf  0.0730  0.1460  0.7424
Hf  0.9270  0.8540  0.2576

***

(2)
A crystal of NaHfO2F relaxed with PBEsol, computed with meta-GGA SCAN.

Results
Energy   -19.820 eV per atom
V   13.58 Å³/atom
Space-group type   P4/mmm, No. 123
Formation energy without anion corrections   -3.24 eV/atom

Lattice parameters (Å, degrees): 4.0511 4.0511 4.1366 90.00 90.00 90.00
Atoms (fractional coordinates):
Hf  0.0000  0.0000  0.0000
Na  0.5000  0.5000  0.5000
O  0.5000  0.0000  0.0000
O  0.0000  0.5000  0.0000
F  0.0000  0.0000  0.5000

***

(3)
A crystal of NaHf2TiF11 relaxed with PBEsol, computed with meta-GGA SCAN.

Results
Energy   -16.042 eV per atom
V   14.25 Å³/atom
Space-group type   Cm, No. 8
Formation energy without anion corrections   -3.74 eV/atom

Lattice parameters (Å, degrees): 5.6864 5.6864 7.7809 97.99 112.25 106.96
Each line ends with the local moment (μB).
Atoms (fractional coordinates):
F  0.4992  0.2298  0.3119  0.00
F  0.0821  0.8127  0.3119  0.00
F  0.6018  0.7576  0.3594  0.00
F  0.1557  0.7429  0.8986  0.00
F  0.9087  0.2068  0.6968  0.01
F  0.3269  0.3397  0.0044  0.00
F  0.4900  0.7880  0.6968  0.01
F  0.6647  0.6775  0.0044  0.00
F  0.3884  0.2609  0.6493  0.00
F  0.9945  0.5107  0.5052  0.00
F  0.8387  0.2756  0.1143  0.00
Na  0.0040  0.0099  0.0139  0.00
Hf  0.2652  0.5058  0.7710  0.04
Hf  0.7254  0.5127  0.2381  0.04
Ti  0.4959  0.0093  0.5051  1.71

***

(4)
A crystal of HfNb3F relaxed with PBEsol, computed with meta-GGA SCAN.

Results
Energy   -31.462 eV per atom
V   23.52 Å³/atom
Space-group type   Pm-3m, No. 221
Formation energy without anion corrections   1.66 eV/atom

Lattice parameters (Å, degrees): 4.8991 4.8991 4.8991 90.00 90.00 90.00
Each line ends with the local moment (μB).
Atoms (fractional coordinates):
F  0.5000  0.5000  0.5000  0.11
Hf  0.0000  0.0000  0.0000  0.03
Nb  0.5000  0.0000  0.0000  0.54
Nb  0.0000  0.5000  0.0000  0.54
Nb  0.0000  0.0000  0.5000  0.54

***

(5)
A crystal of HfNbO2F relaxed with PBEsol, computed with meta-GGA SCAN.

Results
Energy   -24.401 eV per atom
V   13.72 Å³/atom
Space-group type   P4/mmm, No. 123
Formation energy without anion corrections   -2.04 eV/atom

Lattice parameters (Å, degrees): 4.0943 4.0943 4.0923 90.00 90.00 90.00
Each line ends with the local moment (μB).
Atoms (fractional coordinates):
F  0.0000  0.0000  0.5000  0.08
Hf  0.0000  0.0000  0.0000  0.13
O  0.5000  0.0000  0.0000  0.00
O  0.0000  0.5000  0.0000  0.00
Nb  0.5000  0.5000  0.5000  2.88

***

(6)
A crystal of HfNbSn2F relaxed with PBEsol, computed with meta-GGA SCAN.

Results
Energy   -33.600 eV per atom
V   28.23 Å³/atom
Space-group type   P4/mmm, No. 123
Formation energy without anion corrections   0.64 eV/atom

Lattice parameters (Å, degrees): 4.8081 5.4182 5.4182 90.00 90.00 90.00
Atoms (fractional coordinates):
Sn  0.0000  0.5000  0.0000
Sn  0.0000  0.0000  0.5000
Nb  0.5000  0.0000  0.0000
Hf  0.0000  0.0000  0.0000
F  0.5000  0.5000  0.5000

***

(7)
A crystal of Hf3NiF relaxed with PBEsol, computed with meta-GGA SCAN.

Results
Energy   -41.889 eV per atom
V   16.27 Å³/atom
Space-group type   Pm-3m, No. 221
Formation energy without anion corrections   -0.34 eV/atom

Lattice parameters (Å, degrees): 4.3330 4.3330 4.3330 90.00 90.00 90.00
Atoms (fractional coordinates):
Ni  0.5000  0.5000  0.5000
Hf  0.0000  0.0000  0.5000
Hf  0.0000  0.5000  0.0000
Hf  0.5000  0.0000  0.0000
F  0.0000  0.0000  0.0000

***

(8)
A crystal of HfOsO2F relaxed with PBEsol, computed with meta-GGA SCAN.

Results
Energy   -31.446 eV per atom
V   13.47 Å³/atom
Space-group type   P4/mmm, No. 123
Formation energy without anion corrections   -1.33 eV/atom

Lattice parameters (Å, degrees): 4.0445 4.0813 4.0813 90.00 90.00 90.00
Each line ends with the local moment (μB).
Atoms (fractional coordinates):
Os  0.5000  0.5000  0.5000  2.61
O  0.0000  0.0000  0.5000  0.08
O  0.0000  0.5000  0.0000  0.08
F  0.5000  0.0000  0.0000  0.01
Hf  0.0000  0.0000  0.0000  -0.01

***

Q: Which of these has the highest formation energy without anion corrections?
A: HfNb3F

***

Q: Among the records above, which one has the lowest V?
A: Na5Hf2F13

***

Q: Which of these has the lowest V?
A: Na5Hf2F13

***

Q: The highest formation energy without anion corrections belongs to which entry?
A: HfNb3F